{
  "formula": "TbZn6Ag2",
  "functional": "PBE-GGA",
  "state": "relaxed",
  "rho_g_cm3": 7.76,
  "e_tot_ev_per_cell": -18.9,
  "formation_enthalpy_0k_ev_per_atom": -0.10,
  "spacegroup": "Immm, No. 71",
  "volume_a3_per_atom": 18.24,
  "cell": [[3.635, 0.000, 0.000], [1.818, 7.160, 1.259], [1.818, 2.647, 6.771]],
  "species": ["Tb", "Zn", "Zn", "Zn", "Zn", "Zn", "Zn", "Ag", "Ag"],
  "fractional_positions": [[0.000, 0.000, 0.000], [0.683, 0.005, 0.629], [0.317, 0.995, 0.371], [0.317, 0.371, 0.995], [0.500, 0.674, 0.326], [0.500, 0.326, 0.674], [0.683, 0.629, 0.005], [0.869, 0.631, 0.631], [0.131, 0.369, 0.369]]
}